A PBEsol-optimized structure of ScMo3. Source: Alexandria via LeMat-Bulk, functional SCAN.

E: -116.77 eV for the cell shown
Energy of formation: 0.53 eV/atom
Total magnetization: 0.0 μB per cell

Unit cell a=2.9355 b=2.9355 c=8.9140 alpha=90.00 beta=90.00 gamma=120.00
Space group P-6m2 (No. 187)
One atom of each set of equivalent atoms:
Sc  0.0000  0.0000  0.0000
Mo  0.0000  0.0000  0.5000
Mo  0.3333  0.6667  0.2658

***

A PBEsol-optimized structure of Sc3SiTc. Source: Alexandria via LeMat-Bulk, functional SCAN.

E: -86.65 eV for the cell shown
Total magnetization: 0.0 μB per cell
Energy above the most stable polymorph in this dataset: 0.000 eV per atom
ΔE_f (raw): 0.2272 eV per atom

Unit cell a=4.850 b=4.850 c=4.850 alpha=90.00 beta=90.00 gamma=90.00
Space group Pm-3m (No. 221)
One atom of each set of equivalent atoms:
Sc  0.000  0.000  0.500
Si  0.500  0.500  0.500
Tc  0.000  0.000  0.000

***

A PBEsol-optimized structure of Y2TlIr. Source: Alexandria via LeMat-Bulk, functional SCAN.

E: -202.43 eV for the cell shown
Energy of formation: -0.82 eV/atom
Total magnetization: 0.0 μB per cell
Energy above the most stable polymorph in this dataset: 0.000 eV per atom

Unit cell a=3.444 b=3.444 c=7.682 alpha=90.00 beta=90.00 gamma=90.00
Space group P4/mmm (No. 123)
One atom of each set of equivalent atoms:
Y  0.000  0.000  0.213
Tl  0.500  0.500  0.500
Ir  0.500  0.500  0.000

***

A PBEsol-optimized structure of SiPb2SF. Source: Alexandria via LeMat-Bulk, functional SCAN.

E: -174.92 eV for the cell shown
Total magnetization: 0.0 μB per cell
ΔE_f (raw): -0.0343 eV per atom

Unit cell a=5.344 b=5.344 c=3.913 alpha=90.00 beta=90.00 gamma=90.00
Space group P4/mmm (No. 123)
One atom of each set of equivalent atoms:
Si  0.000  0.000  0.000
Pb  0.000  0.500  0.500
S  0.500  0.500  0.000
F  0.000  0.000  0.500

***

A PBEsol-optimized structure of TbCu4Au. Source: Alexandria via LeMat-Bulk, functional SCAN.

E: -716.26 eV for the cell shown
Energy of formation: -0.39 eV/atom
Total magnetization: 0.0 μB per cell

Unit cell a=7.008 b=7.008 c=7.008 alpha=90.00 beta=90.00 gamma=90.00
Space group F-43m (No. 216)
One atom of each set of equivalent atoms:
Tb  0.000  0.000  0.000
Cu  0.124  0.124  0.624
Au  0.250  0.250  0.250

***

A PBEsol-optimized structure of AsAuSe2O. Source: Alexandria via LeMat-Bulk, functional SCAN.

E: -132.43 eV for the cell shown
Total magnetization: 0.0 μB per cell
ΔE_f (raw): 0.6608 eV per atom

Unit cell a=4.464 b=4.464 c=4.318 alpha=90.00 beta=90.00 gamma=90.00
Space group P4/mmm (No. 123)
One atom of each set of equivalent atoms:
As  0.000  0.000  0.000
Au  0.500  0.500  0.000
Se  0.000  0.500  0.500
O  0.000  0.000  0.500

***

A PBEsol-optimized structure of ZnAgAu2. Source: Alexandria via LeMat-Bulk, functional SCAN.

E: -550.98 eV for the cell shown
Energy of formation: -0.12 eV/atom
Total magnetization: 0.0 μB per cell

Unit cell a=2.9080 b=2.9080 c=26.4814 alpha=90.00 beta=90.00 gamma=120.00
Space group R-3m (No. 166, hexagonal axes)
One atom of each set of equivalent atoms:
Zn  0.0000  0.0000  0.0000
Ag  0.0000  0.0000  0.5000
Au  0.0000  0.0000  0.2547

***

A PBEsol-optimized structure of SbS3F. Source: Alexandria via LeMat-Bulk, functional SCAN.

E: -66.26 eV for the cell shown
Total magnetization: 2.8 μB per cell
ΔE_f (raw): 0.6854 eV per atom

Unit cell a=4.946 b=4.946 c=4.946 alpha=90.00 beta=90.00 gamma=90.00
Space group Pm-3m (No. 221)
One atom of each set of equivalent atoms:
Sb  0.000  0.000  0.000
S  0.000  0.000  0.500
F  0.500  0.500  0.500

***

A PBEsol-optimized structure of Sr2MgMoO6. Source: Alexandria via LeMat-Bulk, functional SCAN.

E: -603.56 eV for the cell shown
Total magnetization: 0.0 μB per cell
ΔE_f (raw): -2.9094 eV per atom

Unit cell a=7.876 b=7.876 c=7.876 alpha=90.00 beta=90.00 gamma=90.00
Space group Fm-3m (No. 225)
One atom of each set of equivalent atoms:
Sr  0.250  0.250  0.250
Mg  0.000  0.000  0.000
Mo  0.000  0.000  0.500
O  0.000  0.000  0.258

***

A PBEsol-optimized structure of Zn2CrSi. Source: Alexandria via LeMat-Bulk, functional SCAN.

E: -55.55 eV for the cell shown
Total magnetization: 2.9 μB per cell
ΔE_f (raw): -0.0306 eV per atom

Unit cell a=3.654 b=3.654 c=3.886 alpha=90.00 beta=90.00 gamma=90.00
Space group P4/mmm (No. 123)
One atom of each set of equivalent atoms:
Zn  0.000  0.500  0.000
Cr  0.000  0.000  0.500
Si  0.500  0.500  0.500

***

A PBEsol-optimized structure of Mg4Rh. Source: Alexandria via LeMat-Bulk, functional SCAN.

E: -110.75 eV for the cell shown
Energy of formation: -0.34 eV/atom
Total magnetization: 0.1 μB per cell

Unit cell a=7.709 b=7.709 c=3.172 alpha=90.00 beta=90.00 gamma=90.00
Space group I4/m (No. 87)
One atom of each set of equivalent atoms:
Mg  0.078  0.732  0.000
Rh  0.000  0.000  0.500

***

A PBEsol-optimized structure of Sr3ReCl. Source: Alexandria via LeMat-Bulk, functional SCAN.

E: -144.53 eV for the cell shown
Total magnetization: 0.0 μB per cell
ΔE_f (raw): 0.2733 eV per atom

Unit cell a=5.677 b=5.677 c=5.677 alpha=90.00 beta=90.00 gamma=90.00
Space group Pm-3m (No. 221)
One atom of each set of equivalent atoms:
Sr  0.000  0.000  0.500
Re  0.000  0.000  0.000
Cl  0.500  0.500  0.500